VASP calculation (PBE) on a relaxed Pm2ErGa crystal.

Summary:
ΔE_f (eV per atom): -0.1043
Relative energy among the computed polymorphs (meV/atom): 158
Uncorrected energy (eV/atom): -4.377
DOS at the Fermi energy (states/eV/cell): 28.6
Crystal system: cubic

Lattice parameters (Å, degrees): 7.6275 7.6275 7.6275 90.00 90.00 90.00
With the nearest neighbours (Å) after each atom.
Space group Fm-3m (No. 225)
Unique sites:
Pm 0.2500 0.2500 0.2500 [8 per cell]  4 Er 3.30, 4 Ga 3.30
Er 0.0000 0.0000 0.0000 [4 per cell]  8 Pm 3.30
Ga 0.0000 0.0000 0.5000 [4 per cell]  8 Pm 3.30